No. 1
Below is crystalline ZrGaW at its relaxed geometry, with properties calculated at the GGA-PBE level.

Computed properties:
Volume: 214.68 Å³/cell
SG: No. 63
Total DFT energy (no corrections): -8.2931 eV/atom
Energy of formation from the pure elements: -0.12 eV/atom

abc: 3.3500 17.0078 3.7680
angles: 90.00 90.00 90.00
With the nearest neighbours (Å) after each atom.
Fractional coordinates of all 12 atoms:
Zr1 0.0000 0.1109 0.2500  4 Ga 2.76, 5 W 3.03-3.06
Zr2 0.0000 0.8891 0.7500  4 Ga 2.76, 5 W 3.03-3.06
Zr3 0.5000 0.3891 0.7500  4 Ga 2.76, 5 W 3.03-3.06
Zr4 0.5000 0.6109 0.2500  4 Ga 2.76, 5 W 3.03-3.06
Ga1 0.0000 0.4546 0.2500  2 Ga 2.44
Ga2 0.0000 0.5454 0.7500  2 Ga 2.44
Ga3 0.5000 0.0454 0.7500  2 Ga 2.44
Ga4 0.5000 0.9546 0.2500  2 Ga 2.44
W1 0.0000 0.2906 0.2500  1 Ga 2.79, 4 W 2.87, 5 Zr 3.03-3.06
W2 0.0000 0.7094 0.7500  1 Ga 2.79, 4 W 2.87, 5 Zr 3.03-3.06
W3 0.5000 0.2094 0.7500  1 Ga 2.79, 4 W 2.87, 5 Zr 3.03-3.06
W4 0.5000 0.7906 0.2500  1 Ga 2.79, 4 W 2.87, 5 Zr 3.03-3.06


No. 2
Below is crystalline ZrGa2W2 at its relaxed geometry, with properties calculated at the GGA-PBE level.

Computed properties:
Volume: 166.79 Å³/cell
SG: No. 127
Total DFT energy (no corrections): -8.1119 eV/atom
Energy of formation from the pure elements: -0.01 eV/atom

abc: 6.9712 6.9712 3.4320
angles: 90.00 90.00 90.00
With the nearest neighbours (Å) after each atom.
Fractional coordinates of all 10 atoms:
Zr1 0.0000 0.0000 0.0000  4 Ga 2.75
Zr2 0.5000 0.5000 0.0000  4 Ga 2.75
Ga1 0.1263 0.3737 0.0000  1 Ga 2.49, 6 W 2.63-2.71, 2 Zr 2.75
Ga2 0.3737 0.8737 0.0000  1 Ga 2.49, 6 W 2.63-2.71, 2 Zr 2.75
Ga3 0.6263 0.1263 0.0000  1 Ga 2.49, 6 W 2.63-2.71, 2 Zr 2.75
Ga4 0.8737 0.6263 0.0000  1 Ga 2.49, 6 W 2.63-2.71, 2 Zr 2.75
W1 0.1716 0.6716 0.5000  6 Ga 2.63-2.71
W2 0.3284 0.1716 0.5000  6 Ga 2.63-2.71
W3 0.6716 0.8284 0.5000  6 Ga 2.63-2.71
W4 0.8284 0.3284 0.5000  6 Ga 2.63-2.71


No. 3
Below is crystalline ZrGaW3 at its relaxed geometry, with properties calculated at the GGA-PBE level.

Computed properties:
Volume: 112.34 Å³/cell
SG: No. 221
Total DFT energy (no corrections): -7.5270 eV/atom
Energy of formation from the pure elements: 2.56 eV/atom

abc: 4.8251 4.8251 4.8251
angles: 90.00 90.00 90.00
With the nearest neighbours (Å) after each atom.
Fractional coordinates of all 5 atoms:
Zr1 0.0000 0.0000 0.0000  6 W 2.41
Ga1 0.5000 0.5000 0.5000  12 W 3.41
W1 0.0000 0.0000 0.5000  2 Zr 2.41
W2 0.0000 0.5000 0.0000  2 Zr 2.41
W3 0.5000 0.0000 0.0000  2 Zr 2.41


No. 4
Below is crystalline ZrGaW3 at its relaxed geometry, with properties calculated at the GGA-PBE level.

Computed properties:
Volume: 98.98 Å³/cell
SG: No. 221
Total DFT energy (no corrections): -8.6867 eV/atom
Energy of formation from the pure elements: 1.40 eV/atom

abc: 4.6258 4.6258 4.6258
angles: 90.00 90.00 90.00
With the nearest neighbours (Å) after each atom.
Fractional coordinates of all 5 atoms:
Zr1 0.0000 0.0000 0.0000  12 W 3.27
Ga1 0.5000 0.5000 0.5000  6 W 2.31
W1 0.0000 0.5000 0.5000  2 Ga 2.31
W2 0.5000 0.0000 0.5000  2 Ga 2.31
W3 0.5000 0.5000 0.0000  2 Ga 2.31


No. 5
Below is crystalline YGa at its relaxed geometry, with properties calculated at the GGA-PBE level.

Computed properties:
Volume: 522.83 Å³/cell
SG: No. 223
Total DFT energy (no corrections): -4.1901 eV/atom
Energy of formation from the pure elements: 0.56 eV/atom

abc: 8.0560 8.0560 8.0560
angles: 90.00 90.00 90.00
With the nearest neighbours (Å) after each atom.
Fractional coordinates of all 12 atoms:
Y1 0.0000 0.2500 0.5000  4 Ga 2.85
Y2 0.0000 0.7500 0.5000  4 Ga 2.85
Y3 0.2500 0.5000 0.0000  4 Ga 2.85
Y4 0.5000 0.0000 0.2500  4 Ga 2.85
Y5 0.5000 0.0000 0.7500  4 Ga 2.85
Y6 0.7500 0.5000 0.0000  4 Ga 2.85
Ga1 0.0000 0.5000 0.2500  4 Y 2.85
Ga2 0.0000 0.5000 0.7500  4 Y 2.85
Ga3 0.2500 0.0000 0.5000  4 Y 2.85
Ga4 0.5000 0.2500 0.0000  4 Y 2.85
Ga5 0.5000 0.7500 0.0000  4 Y 2.85
Ga6 0.7500 0.0000 0.5000  4 Y 2.85


No. 6
Below is crystalline YGa6 at its relaxed geometry, with properties calculated at the GGA-PBE level.

Computed properties:
Volume: 272.31 Å³/cell
SG: No. 125
Total DFT energy (no corrections): -3.8326 eV/atom
Energy of formation from the pure elements: -0.31 eV/atom

abc: 5.9949 5.9949 7.5772
angles: 90.00 90.00 90.00
With the nearest neighbours (Å) after each atom.
Fractional coordinates of all 14 atoms:
Y1 0.2500 0.7500 0.0000  12 Ga 3.07-3.24
Y2 0.7500 0.2500 0.0000  12 Ga 3.07-3.24
Ga1 0.0731 0.5731 0.3532  3 Ga 2.55-2.64
Ga2 0.0731 0.9269 0.6468  3 Ga 2.55-2.64
Ga3 0.2500 0.2500 0.1629  5 Ga 2.47-2.64
Ga4 0.2500 0.2500 0.8371  5 Ga 2.47-2.64
Ga5 0.4269 0.5731 0.6468  3 Ga 2.55-2.64
Ga6 0.4269 0.9269 0.3532  3 Ga 2.55-2.64
Ga7 0.5731 0.0731 0.6468  3 Ga 2.55-2.64
Ga8 0.5731 0.4269 0.3532  3 Ga 2.55-2.64
Ga9 0.7500 0.7500 0.1629  5 Ga 2.47-2.64
Ga10 0.7500 0.7500 0.8371  5 Ga 2.47-2.64
Ga11 0.9269 0.0731 0.3532  3 Ga 2.55-2.64
Ga12 0.9269 0.4269 0.6468  3 Ga 2.55-2.64


No. 7
Below is crystalline Y4Ga at its relaxed geometry, with properties calculated at the GGA-PBE level.

Computed properties:
Volume: 169.41 Å³/cell
SG: No. 221
Total DFT energy (no corrections): -5.6993 eV/atom
Energy of formation from the pure elements: 0.08 eV/atom

abc: 5.5333 5.5333 5.5333
angles: 90.00 90.00 90.00
With the nearest neighbours (Å) after each atom.
Fractional coordinates of all 5 atoms:
Y1 0.0000 0.0000 0.0000  12 Y 3.91
Y2 0.0000 0.5000 0.5000  2 Ga 2.77
Y3 0.5000 0.0000 0.5000  2 Ga 2.77
Y4 0.5000 0.5000 0.0000  2 Ga 2.77
Ga1 0.5000 0.5000 0.5000  6 Y 2.77


No. 8
Below is crystalline Y5Ga4 at its relaxed geometry, with properties calculated at the GGA-PBE level.

Computed properties:
Volume: 224.81 Å³/cell
SG: No. 12
Total DFT energy (no corrections): -5.5341 eV/atom
Energy of formation from the pure elements: -0.60 eV/atom

abc: 5.9040 5.9040 10.0387
angles: 110.90 110.90 44.11
With the nearest neighbours (Å) after each atom.
Fractional coordinates of all 9 atoms:
Y1 0.0000 0.0000 0.0000  4 Ga 2.95
Y2 0.1022 0.1022 0.3915  7 Ga 3.08-3.26
Y3 0.2428 0.2428 0.8246  6 Ga 3.03-3.32
Y4 0.7572 0.7572 0.1754  6 Ga 3.03-3.32
Y5 0.8978 0.8978 0.6085  7 Ga 3.08-3.26
Ga1 0.3829 0.3829 0.3905  2 Ga 2.62-2.66
Ga2 0.4508 0.4508 0.1673  1 Ga 2.62
Ga3 0.5492 0.5492 0.8327  1 Ga 2.62
Ga4 0.6171 0.6171 0.6095  2 Ga 2.62-2.66